1.
Density functional theory data (PBE-GGA) for a relaxed Mn2TlCu crystal.

Results
* crystal system: monoclinic
* ΔE_f: 381 meV per atom
* energy: -5.82 eV per atom

Cell: 3.159 3.157 7.463 Å, 65.05 90.00 90.00°
Last column: magnetic moment on the atom in μB.
Sites, in units of the cell vectors:
1 Mn 0.000 0.044 0.957  3.77
2 Mn 0.000 0.456 0.543  3.77
3 Tl 0.500 0.250 0.250  -0.05
4 Cu 0.500 0.750 0.750  0.14

---

2.
Density functional theory data (PBE-GGA) for a relaxed NpUSnIr crystal.

Results
* crystal system: cubic
* ΔE_f: -54 meV per atom
* energy: -9.33 eV per atom

Cell: 4.921 4.921 4.921 Å, 60.00 60.00 60.00°
Last column: magnetic moment on the atom in μB.
Sites, in units of the cell vectors:
1 U 0.750 0.750 0.750  2.76
2 Sn 0.250 0.250 0.250  0.10
3 Ir 0.000 0.000 0.000  -0.04
4 Np 0.500 0.500 0.500  4.49

---

3.
Density functional theory data (PBE-GGA) for a relaxed PmZnNiPd crystal.

Results
* crystal system: monoclinic
* ΔE to the lowest computed polymorph: 0.0 meV/atom
* ΔE_f: -522 meV per atom
* energy: -4.77 eV per atom

Cell: 4.299 4.293 5.333 Å, 113.82 90.00 120.05°
Sites, in units of the cell vectors:
1 Ni 0.820 0.639 0.101
2 Zn 0.126 0.252 0.020
3 Pm 0.615 0.230 0.486
4 Pd 0.406 0.812 0.860

---

4.
Density functional theory data (PBE-GGA) for a relaxed HoThZn3 crystal.

Results
* crystal system: orthorhombic
* ΔE_f: -284 meV per atom
* energy: -3.45 eV per atom

Cell: 4.545 3.573 13.736 Å, 97.47 90.00 90.00°
Sites, in units of the cell vectors:
1 Th 0.750 0.926 0.852
2 Th 0.250 0.074 0.148
3 Ho 0.250 0.791 0.581
4 Ho 0.750 0.209 0.419
5 Zn 0.250 0.675 0.350
6 Zn 0.750 0.325 0.650
7 Zn 0.750 0.524 0.048
8 Zn 0.750 0.621 0.243
9 Zn 0.250 0.379 0.757
10 Zn 0.250 0.476 0.952

---

5.
Density functional theory data (PBE-GGA) for a relaxed PrMgPH2 crystal.

Results
* crystal system: tetragonal
* energy: -4.36 eV per atom

Cell: 5.585 5.585 6.717 Å, 114.57 114.57 90.00°
Sites, in units of the cell vectors:
1 P 0.242 0.242 0.484
2 P 0.742 0.742 0.484
3 Mg 0.510 0.510 0.021
4 Mg 0.010 0.010 0.021
5 H 0.214 0.714 0.928
6 H 0.214 0.214 0.928
7 H 0.714 0.714 0.928
8 H 0.714 0.214 0.928
9 Pr 0.820 0.320 0.639
10 Pr 0.320 0.820 0.639

---

Which of these has the highest energy?
HoThZn3